(1)
! KSiTc, relaxed, DFT PBEsol; values from VASP
&SYSTEM
  ibrav = 0, nat = 3, ntyp = 3
/
ATOMIC_SPECIES
K 39.10 K.upf
Tc 98.00 Tc.upf
Si 28.09 Si.upf
CELL_PARAMETERS angstrom
4.753 0.000 0.000
2.376 4.116 0.000
2.376 1.372 3.881
ATOMIC_POSITIONS crystal
K 0.250 0.250 0.250
Tc 0.500 0.500 0.500
Si 0.000 0.000 0.000
! crystal system	cubic
! calculated total energy	-11.1	eV for the cell shown
! energy relative to the elements, uncorrected	2.360	eV per atom
! N(E_F)	3.581	states/eV/cell

(2)
! CrAsSe2Br, relaxed, DFT PBEsol; values from VASP
&SYSTEM
  ibrav = 0, nat = 5, ntyp = 4
/
ATOMIC_SPECIES
Cr 52.00 Cr.upf
Se 78.96 Se.upf
As 74.92 As.upf
Br 79.90 Br.upf
CELL_PARAMETERS angstrom
-1.589 4.256 0.438
-1.524 -0.126 -4.301
-4.277 -1.758 1.567
ATOMIC_POSITIONS crystal
Cr 0.000 0.000 0.000
Se 0.000 0.500 0.000
Se 0.500 0.000 0.000
As 0.000 0.000 0.500
Br 0.500 0.500 0.500
! crystal system	tetragonal
! calculated total energy	-24.0	eV for the cell shown
! energy relative to the elements, uncorrected	0.186	eV per atom
! N(E_F)	3.692	states/eV/cell

(3)
! CuSiPd3, relaxed, DFT PBEsol; values from VASP
&SYSTEM
  ibrav = 0, nat = 5, ntyp = 3
/
ATOMIC_SPECIES
Pd 106.42 Pd.upf
Si 28.09 Si.upf
Cu 63.55 Cu.upf
CELL_PARAMETERS angstrom
-2.411 -0.301 -3.736
-0.585 -4.358 0.728
-3.703 0.885 2.318
ATOMIC_POSITIONS crystal
Pd 0.000 0.500 0.000
Pd 0.500 0.000 0.000
Pd 0.000 0.000 0.500
Si 0.500 0.500 0.500
Cu 0.000 0.000 0.000
! crystal system	cubic
! calculated total energy	-23.6	eV for the cell shown
! energy relative to the elements, uncorrected	0.874	eV per atom
! N(E_F)	5.187	states/eV/cell

(4)
! Cu3Te2, relaxed, DFT PBEsol; values from VASP
&SYSTEM
  ibrav = 0, nat = 5, ntyp = 2
/
ATOMIC_SPECIES
Cu 63.55 Cu.upf
Te 127.60 Te.upf
CELL_PARAMETERS angstrom
-0.410 -2.564 3.019
3.942 -0.559 0.061
0.570 4.437 3.846
ATOMIC_POSITIONS crystal
Cu 0.500 0.000 0.993
Cu 0.000 0.500 0.993
Cu 0.000 0.000 0.271
Te 0.000 0.000 0.715
Te 0.500 0.500 0.298
! crystal system	tetragonal
! calculated total energy	-20.2	eV for the cell shown
! energy relative to the elements, uncorrected	-0.028	eV per atom
! N(E_F)	1.797	states/eV/cell

(5)
! BaZn2Rh, relaxed, DFT PBEsol; values from VASP
&SYSTEM
  ibrav = 0, nat = 4, ntyp = 3
/
ATOMIC_SPECIES
Zn 65.41 Zn.upf
Rh 102.91 Rh.upf
Ba 137.33 Ba.upf
CELL_PARAMETERS angstrom
-3.172 -2.684 -2.571
-0.571 -4.745 1.016
-4.128 -1.572 2.090
ATOMIC_POSITIONS crystal
Zn 0.250 0.250 0.250
Zn 0.750 0.750 0.750
Rh 0.500 0.500 0.500
Ba 0.000 0.000 0.000
! crystal system	cubic
! calculated total energy	-12.7	eV for the cell shown
! N(E_F)	3.011	states/eV/cell
! energy of formation	0.198	eV per atom

(6)
! CaHo2S4, relaxed, DFT PBEsol; values from VASP
&SYSTEM
  ibrav = 0, nat = 28, ntyp = 3
/
ATOMIC_SPECIES
Ca 40.08 Ca.upf
S 32.06 S.upf
Ho 164.93 Ho.upf
CELL_PARAMETERS angstrom
3.839 0.000 0.000
0.000 12.756 0.000
0.000 0.000 12.918
ATOMIC_POSITIONS crystal
Ca 0.750 0.632 0.582
Ca 0.250 0.368 0.418
Ca 0.250 0.868 0.082
Ca 0.750 0.132 0.918
S 0.750 0.028 0.118
S 0.250 0.758 0.474
S 0.750 0.964 0.617
S 0.250 0.972 0.882
S 0.750 0.282 0.264
S 0.750 0.528 0.382
S 0.250 0.258 0.026
S 0.750 0.742 0.974
S 0.750 0.242 0.526
S 0.250 0.536 0.117
S 0.750 0.464 0.883
S 0.250 0.472 0.618
S 0.750 0.782 0.236
S 0.250 0.718 0.736
S 0.250 0.036 0.383
S 0.250 0.218 0.764
Ho 0.750 0.894 0.415
Ho 0.250 0.146 0.202
Ho 0.750 0.394 0.085
Ho 0.250 0.106 0.585
Ho 0.250 0.646 0.298
Ho 0.250 0.606 0.915
Ho 0.750 0.854 0.798
Ho 0.750 0.354 0.702
! crystal system	orthorhombic
! calculated total energy	-178.3	eV for the cell shown
! energy relative to the elements, uncorrected	-2.144	eV per atom
! energy relative to the lowest polymorph listed for this composition	4	meV/atom

(7)
! KSr2Ca, relaxed, DFT PBEsol; values from VASP
&SYSTEM
  ibrav = 0, nat = 4, ntyp = 3
/
ATOMIC_SPECIES
Ca 40.08 Ca.upf
Sr 87.62 Sr.upf
K 39.10 K.upf
CELL_PARAMETERS angstrom
4.069 0.000 0.000
0.000 4.069 0.000
0.000 0.000 12.572
ATOMIC_POSITIONS crystal
Ca 0.000 0.000 0.484
Sr 0.500 0.500 0.260
Sr 0.000 0.000 0.016
K 0.500 0.500 0.740
! crystal system	tetragonal
! calculated total energy	-6.6	eV for the cell shown
! N(E_F)	3.998	states/eV/cell
! energy of formation	0.081	eV per atom
! energy relative to the lowest polymorph listed for this composition	14	meV/atom

(8)
! CuRuRh2, relaxed, DFT PBEsol; values from VASP
&SYSTEM
  ibrav = 0, nat = 4, ntyp = 3
/
ATOMIC_SPECIES
Rh 102.91 Rh.upf
Ru 101.07 Ru.upf
Cu 63.55 Cu.upf
CELL_PARAMETERS angstrom
2.657 0.000 0.000
1.329 2.301 0.000
1.329 0.767 8.521
ATOMIC_POSITIONS crystal
Rh 0.250 0.250 0.249
Rh 0.750 0.750 0.751
Ru 0.500 0.500 0.500
Cu 0.000 0.000 0.000
! crystal system	trigonal
! calculated total energy	-30.6	eV for the cell shown
! N(E_F)	4.338	states/eV/cell
! energy of formation	0.048	eV per atom
! energy relative to the lowest polymorph listed for this composition	13	meV/atom